# 1
A geometry-optimized BaPrAgSe3 structure, computed with PBE.

The value obtained for the uncorrected energy is -4.86 eV/atom. For the density, the calculation gives 5.8 Mg/m³.

The space group is P2_1/m (No. 11) and the conventional cell measures 8.353, 4.315 and 10.277 Å, with angles of 90.00, 106.71 and 90.00 degrees. The asymmetric unit holds Ba at (0.245, 0.250, 0.207), Pr at (0.201, 0.750, 0.653), Ag at (0.416, 0.250, 0.907), Se at (0.054, 0.750, 0.353), Se at (0.233, 0.750, 0.953) and Se at (0.447, 0.250, 0.655).

# 2
A geometry-optimized BaPrAgTeSe2 structure, computed with PBE.

The value obtained for the uncorrected energy is -4.72 eV/atom. For the density, the calculation gives 5.9 Mg/m³.

The space group is Cmcm (No. 63) and the conventional cell measures 4.392, 14.956 and 11.556 Å, with angles of 90.00, 90.00 and 90.00 degrees. The asymmetric unit holds Ba at (0.000, 0.227, 0.250), Pr at (0.000, 0.000, 0.000), Ag at (0.000, 0.477, 0.750), Te at (0.000, 0.094, 0.750) and Se at (0.000, 0.370, 0.565).

# 3
A geometry-optimized Ba2AgPtS6 structure, computed with PBE.

The value obtained for the uncorrected energy is -4.42 eV/atom. For the density, the calculation gives 5.4 Mg/m³.

The space group is Fm-3m (No. 225) and the conventional cell measures 9.837, 9.837 and 9.837 Å, with angles of 90.00, 90.00 and 90.00 degrees. The asymmetric unit holds Ba at (0.250, 0.250, 0.250), Ag at (0.000, 0.000, 0.000), Pt at (0.000, 0.000, 0.500) and S at (0.000, 0.000, 0.257).

# 4
A geometry-optimized BaPuAg structure, computed with PBE.

The value obtained for the uncorrected energy is -6.03 eV/atom. For the density, the calculation gives 7.3 Mg/m³. The polymorph energy (0 for the lowest one) comes out at 0 meV/atom.

The space group is F-43m (No. 216) and the conventional cell measures 7.644, 7.644 and 7.644 Å, with angles of 90.00, 90.00 and 90.00 degrees. The asymmetric unit holds Ba at (0.000, 0.000, 0.000), Pu at (0.000, 0.000, 0.500) and Ag at (0.250, 0.250, 0.250).

# 5
A geometry-optimized Ba3Re2Ag2 structure, computed with PBE.

The value obtained for the uncorrected energy is -3.86 eV/atom. For the density, the calculation gives 7.1 Mg/m³.

The space group is R3m (No. 160, hexagonal axes) and the conventional cell measures 5.4839, 5.4839 and 26.9115 Å, with angles of 90.00, 90.00 and 120.00 degrees. The asymmetric unit holds Ba at (0.0000, 0.0000, 0.0000), Ba at (0.0000, 0.0000, 0.2409), Ba at (0.0000, 0.0000, 0.4827), Re at (0.0000, 0.0000, 0.1204), Re at (0.0000, 0.0000, 0.6248), Ag at (0.0000, 0.0000, 0.3636) and Ag at (0.0000, 0.0000, 0.8512).

# 6
A geometry-optimized Ba2ReAg structure, computed with PBE.

The value obtained for the uncorrected energy is -3.75 eV/atom. For the density, the calculation gives 8.8 Mg/m³.

The space group is F-43m (No. 216) and the conventional cell measures 7.542, 7.542 and 7.542 Å, with angles of 90.00, 90.00 and 90.00 degrees. The asymmetric unit holds Ba at (0.000, 0.000, 0.000), Ba at (0.250, 0.250, 0.250), Re at (0.000, 0.000, 0.500) and Ag at (0.250, 0.250, 0.750).

# 7
A geometry-optimized Ba2AgS structure, computed with PBE.

The value obtained for the uncorrected energy is -3.76 eV/atom. For the density, the calculation gives 4.7 Mg/m³.

The space group is Pmn2_1 (No. 31) and the conventional cell measures 4.585, 9.715 and 6.646 Å, with angles of 90.00, 90.00 and 90.00 degrees. The asymmetric unit holds Ba at (0.000, 0.114, 0.000), Ba at (0.000, 0.654, 0.005), Ag at (0.000, 0.614, 0.506) and S at (0.000, 0.111, 0.501).

# 8
A geometry-optimized Ba2AgS structure, computed with PBE.

The value obtained for the uncorrected energy is -3.75 eV/atom. For the density, the calculation gives 4.7 Mg/m³.

The space group is Pmc2_1 (No. 26) and the conventional cell measures 4.577, 8.271 and 7.810 Å, with angles of 90.00, 90.00 and 90.00 degrees. The asymmetric unit holds Ba at (0.000, 0.142, 0.000), Ba at (0.500, 0.303, 0.499), Ag at (0.000, 0.499, 0.749) and S at (0.500, 0.001, 0.750).